No. 1
Density functional theory data (PBE) for a geometry-optimized ZrPCl2 structure.

## Properties
symmetry = Cmmm

Cell lengths 3.141, 5.850, 11.513 Å; angles 90.00, 90.00, 90.00 degrees
Positions (direct):
Zr1 0.000 0.000 0.000
Zr2 0.500 0.500 0.000
P1 0.000 0.000 0.500
P2 0.500 0.500 0.500
Cl1 0.000 0.500 0.175
Cl2 0.000 0.500 0.825
Cl3 0.500 0.000 0.175
Cl4 0.500 0.000 0.825

---

No. 2
Density functional theory data (PBE) for a geometry-optimized ZrP2Cl structure.

## Properties
symmetry = I-42d

Cell lengths 3.846, 3.846, 20.302 Å; angles 90.00, 90.00, 90.00 degrees
Positions (direct):
Zr1 0.000 0.000 0.000
Zr2 0.000 0.500 0.250
Zr3 0.500 0.000 0.750
Zr4 0.500 0.500 0.500
P1 0.159 0.250 0.125
P2 0.250 0.659 0.375
P3 0.250 0.841 0.875
P4 0.341 0.250 0.625
P5 0.659 0.750 0.625
P6 0.750 0.159 0.875
P7 0.750 0.341 0.375
P8 0.841 0.750 0.125
Cl1 0.000 0.000 0.500
Cl2 0.000 0.500 0.750
Cl3 0.500 0.000 0.250
Cl4 0.500 0.500 0.000

---

No. 3
Density functional theory data (PBE) for a geometry-optimized ZrPCl2 structure.

## Properties
symmetry = I-4m2

Cell lengths 4.272, 4.272, 8.076 Å; angles 90.00, 90.00, 90.00 degrees
Positions (direct):
Zr1 0.000 0.000 0.000
Zr2 0.500 0.500 0.500
P1 0.000 0.500 0.250
P2 0.500 0.000 0.750
Cl1 0.000 0.000 0.500
Cl2 0.000 0.500 0.750
Cl3 0.500 0.000 0.250
Cl4 0.500 0.500 0.000

---

no.,formation energy from raw total energies (kJ per mole of atoms),energy above the most stable polymorph in this dataset (meV per atom),uncorrected energy (hartree per atom)
1,-28.45,738,-0.17301
2,-36.88,473,-0.20895
3,-30.86,713,-0.17392